The following is a DFT calculation (PBE) of a geometry-optimized SmTmPdAu structure.

abc: 4.7088 5.6453 5.6453
angles: 38.95 90.00 90.00
Sites, in units of the cell vectors:
Sm (0.0000, 0.0000, 0.0000)
Tm (0.5000, 0.2763, 0.2763)
Pd (0.0000, 0.7277, 0.7277)
Au (0.5000, 0.5564, 0.5564)

Output
Formation energy from the elements (eV per atom): -0.881
E (eV per atom): -5.297
Magnetization (μB/f.u.): 0.0
Energy relative to the lowest polymorph listed for this composition (meV/atom): 0
Symmetry: No. 38